No. 1
## BePbSe3 (PBE)

Data for a relaxed structure of BePbSe3.

```
BePbSe3
1.0
-1.524 5.223 -0.212
-2.612 -0.952 -4.681
-4.528 -1.209 2.772
Be Se Pb
1 3 1
Direct
0.500 0.500 0.500 Be
0.000 0.500 0.000 Se
0.500 0.000 0.000 Se
0.000 0.000 0.500 Se
0.000 0.000 0.000 Pb
```

As for the total energy: -2.53 eV per atom. The space group is Pm-3m. The calculation puts the density of states at the Fermi level at 6.8 states/eV/f.u. The calculation puts the raw formation energy at 1.05 eV per atom.

No. 2
## BePb2Se (PBE)

Data for a relaxed structure of BePb2Se.

```
BePb2Se
1.0
-2.537 -4.325 3.386
4.003 -4.238 1.621
-1.629 5.815 0.381
Se Pb Be
1 2 1
Direct
0.592 0.592 0.000 Se
0.941 0.941 0.000 Pb
0.248 0.748 0.500 Pb
0.719 0.219 0.500 Be
```

As for the total energy: -3.64 eV per atom. The space group is Imm2. The calculation puts the density of states at the Fermi level at 2.5 states/eV/f.u. The calculation puts the raw formation energy at 0.02 eV per atom.

No. 3
## BePb2Se (PBE)

Data for a relaxed structure of BePb2Se.

```
BePb2Se
1.0
6.414 -0.002 0.000
3.611 5.302 0.000
-5.012 -2.650 2.999
Pb Be Se
2 1 1
Direct
0.000 0.000 0.000 Pb
0.250 0.750 0.500 Pb
0.750 0.250 0.500 Be
0.500 0.500 0.000 Se
```

As for the total energy: -3.28 eV per atom. The space group is I-4m2. The calculation puts the density of states at the Fermi level at 1.2 states/eV/f.u. The calculation puts the raw formation energy at 0.38 eV per atom.

No. 4
## Be2PbSe (PBE)

Data for a relaxed structure of Be2PbSe.

```
Be2PbSe
1.0
5.121 -0.006 0.038
0.331 5.111 -0.038
-1.461 -3.904 2.976
Be Se Pb
2 1 1
Direct
0.956 0.956 0.000 Be
0.544 0.544 0.000 Be
0.750 0.250 0.500 Se
0.250 0.750 0.500 Pb
```

As for the total energy: -3.20 eV per atom. The space group is Immm. The calculation puts the density of states at the Fermi level at 1.3 states/eV/f.u. The calculation puts the raw formation energy at 0.46 eV per atom.

No. 5
## Be4PbSe (PBE)

Data for a relaxed structure of Be4PbSe.

```
Be4PbSe
1.0
0.000 3.512 3.512
3.512 0.000 3.512
3.512 3.512 0.000
Se Be Pb
1 4 1
Direct
0.000 0.000 0.000 Se
0.869 0.377 0.377 Be
0.377 0.869 0.377 Be
0.377 0.377 0.377 Be
0.377 0.377 0.869 Be
0.750 0.750 0.750 Pb
```

As for the total energy: -3.03 eV per atom. The space group is F-43m. The calculation puts the density of states at the Fermi level at 2.7 states/eV/f.u. The calculation puts the raw formation energy at 0.65 eV per atom.

No. 6
## Be2PbSe (PBE)

Data for a relaxed structure of Be2PbSe.

```
Be2PbSe
1.0
-0.922 -4.926 -2.902
-1.306 -2.681 4.964
-5.840 -2.577 0.450
Pb Be Se
2 4 2
Direct
0.000 0.000 0.000 Pb
0.750 0.250 0.500 Pb
0.573 0.125 0.250 Be
0.875 0.823 0.750 Be
0.177 0.625 0.250 Be
0.375 0.427 0.750 Be
0.500 0.500 0.000 Se
0.250 0.750 0.500 Se
```

As for the total energy: -3.55 eV per atom. The space group is I-42d. The calculation puts the density of states at the Fermi level at 0.5 states/eV/f.u. The calculation puts the raw formation energy at 0.11 eV per atom.

No. 7
## BePb2Se (PBE)

Data for a relaxed structure of BePb2Se.

```
BePb2Se
1.0
8.924 0.036 0.004
7.626 4.635 -0.004
-8.268 -2.361 2.389
Pb Se Be
2 1 1
Direct
0.577 0.577 0.000 Pb
0.923 0.923 0.000 Pb
0.250 0.750 0.500 Se
0.750 0.250 0.500 Be
```

As for the total energy: -3.61 eV per atom. The space group is Immm. The calculation puts the density of states at the Fermi level at 1.4 states/eV/f.u. The calculation puts the raw formation energy at 0.04 eV per atom.

No. 8
## Be2PbSe (PBE)

Data for a relaxed structure of Be2PbSe.

```
Be2PbSe
1.0
3.595 0.000 0.000
0.000 5.998 0.000
0.000 0.000 3.558
Se Pb Be
1 1 2
Direct
0.000 0.500 0.500 Se
0.500 0.000 0.500 Pb
0.000 0.000 0.000 Be
0.500 0.500 0.000 Be
```

As for the total energy: -3.06 eV per atom. The space group is Pmmm. The calculation puts the density of states at the Fermi level at 1.5 states/eV/f.u. The calculation puts the raw formation energy at 0.60 eV per atom.

No. 9
## Be2PbSe (PBE)

Data for a relaxed structure of Be2PbSe.

```
Be2PbSe
1.0
-1.810 1.555 2.281
-2.073 -2.566 0.105
4.181 -3.152 5.467
Se Pb Be
1 1 2
Direct
0.500 0.500 0.902 Se
0.000 0.000 0.402 Pb
0.000 0.000 0.014 Be
0.500 0.500 0.182 Be
```

As for the total energy: -3.53 eV per atom. The space group is P4mm. The calculation puts the density of states at the Fermi level at 0.9 states/eV/f.u. The calculation puts the raw formation energy at 0.13 eV per atom.

No. 10
## Be2PbSe (PBE)

Data for a relaxed structure of Be2PbSe.

```
Be2PbSe
1.0
6.381 -0.028 0.000
4.358 4.661 0.000
-5.370 -2.316 2.553
Pb Be Se
1 2 1
Direct
0.500 0.500 0.000 Pb
0.250 0.750 0.500 Be
0.000 0.000 0.000 Be
0.750 0.250 0.500 Se
```

As for the total energy: -3.06 eV per atom. The space group is I-4m2. The calculation puts the density of states at the Fermi level at 2.1 states/eV/f.u. The calculation puts the raw formation energy at 0.60 eV per atom.

No. 11
## Be2PbSe (PBE)

Data for a relaxed structure of Be2PbSe.

```
Be2PbSe
1.0
-3.309 -0.229 -0.893
0.030 -3.356 0.750
-2.032 1.439 7.161
Be Se Pb
2 1 1
Direct
0.000 0.876 0.099 Be
0.500 0.376 0.098 Be
0.500 0.884 0.912 Se
0.000 0.364 0.391 Pb
```

As for the total energy: -3.76 eV per atom. The space group is Pm. The calculation puts the density of states at the Fermi level at 0.6 states/eV/f.u. The calculation puts the raw formation energy at -0.10 eV per atom.

No. 12
## Be2PbSe (PBE)

Data for a relaxed structure of Be2PbSe.

```
Be2PbSe
1.0
-1.682 -1.173 -4.127
1.890 -4.008 1.266
-3.054 -2.733 0.585
Pb Se Be
1 1 2
Direct
0.500 0.000 0.500 Pb
0.000 0.500 0.500 Se
0.000 0.000 0.000 Be
0.500 0.500 0.000 Be
```

As for the total energy: -3.10 eV per atom. The space group is C2/m. The calculation puts the density of states at the Fermi level at 1.0 states/eV/f.u. The calculation puts the raw formation energy at 0.56 eV per atom.

No. 13
## Be2PbSe (PBE)

Data for a relaxed structure of Be2PbSe.

```
Be2PbSe
1.0
-3.471 -5.523 3.505
-0.088 -3.848 6.326
0.187 6.193 -4.055
Be Se Pb
2 1 1
Direct
0.900 0.900 0.000 Be
0.298 0.798 0.500 Be
0.772 0.272 0.500 Se
0.530 0.530 0.000 Pb
```

As for the total energy: -3.39 eV per atom. The space group is Imm2. The calculation puts the density of states at the Fermi level at 1.1 states/eV/f.u. The calculation puts the raw formation energy at 0.27 eV per atom.

No. 14
## Be2PbSe (PBE)

Data for a relaxed structure of Be2PbSe.

```
Be2PbSe
1.0
0.516 -4.070 -2.191
-0.344 -3.982 2.378
-3.674 -2.780 -0.638
Se Be Pb
1 2 1
Direct
0.000 0.000 0.000 Se
0.750 0.750 0.750 Be
0.250 0.250 0.250 Be
0.500 0.500 0.500 Pb
```

As for the total energy: -2.85 eV per atom. The space group is Fm-3m. The calculation puts the density of states at the Fermi level at 3.6 states/eV/f.u. The calculation puts the raw formation energy at 0.82 eV per atom.

No. 15
## BePb2Se (PBE)

Data for a relaxed structure of BePb2Se.

```
BePb2Se
1.0
5.200 0.126 -0.319
-0.566 5.170 -0.319
0.414 0.473 3.581
Pb Se Be
2 1 1
Direct
0.500 0.500 0.000 Pb
0.000 0.000 0.000 Pb
0.500 0.000 0.500 Se
0.000 0.500 0.500 Be
```

As for the total energy: -3.31 eV per atom. The space group is C2/m. The calculation puts the density of states at the Fermi level at 1.7 states/eV/f.u. The calculation puts the raw formation energy at 0.35 eV per atom.

No. 16
## BePb2Se (PBE)

Data for a relaxed structure of BePb2Se.

```
BePb2Se
1.0
-2.126 2.522 1.526
-0.262 -3.501 0.940
6.287 1.302 6.605
Pb Be Se
2 1 1
Direct
0.500 0.500 0.270 Pb
0.000 0.000 0.945 Pb
0.500 0.500 0.703 Be
0.000 0.000 0.582 Se
```

As for the total energy: -3.62 eV per atom. The space group is Cmm2. The calculation puts the density of states at the Fermi level at 1.5 states/eV/f.u. The calculation puts the raw formation energy at 0.04 eV per atom.

No. 17
## BePb2Se (PBE)

Data for a relaxed structure of BePb2Se.

```
BePb2Se
1.0
-1.874 1.420 2.411
-2.536 0.366 -2.187
-3.190 -8.170 2.332
Se Pb Be
1 2 1
Direct
0.000 0.000 0.622 Se
0.500 0.500 0.281 Pb
0.000 0.000 0.002 Pb
0.500 0.500 0.596 Be
```

As for the total energy: -3.61 eV per atom. The space group is P4mm. The calculation puts the density of states at the Fermi level at 2.3 states/eV/f.u. The calculation puts the raw formation energy at 0.05 eV per atom.

No. 18
## BePb2Se (PBE)

Data for a relaxed structure of BePb2Se.

```
BePb2Se
1.0
0.000 3.667 3.667
3.667 0.000 3.667
3.667 3.667 0.000
Pb Se Be
2 1 1
Direct
0.750 0.750 0.750 Pb
0.250 0.250 0.250 Pb
0.500 0.500 0.500 Se
0.000 0.000 0.000 Be
```

As for the total energy: -3.20 eV per atom. The space group is Fm-3m. The calculation puts the density of states at the Fermi level at 2.8 states/eV/f.u. The calculation puts the raw formation energy at 0.45 eV per atom.

No. 19
## BeSn2PbSe (PBE)

Data for a relaxed structure of BeSn2PbSe.

```
BeSn2PbSe
1.0
5.901 0.000 0.000
0.000 5.450 0.000
0.000 0.000 5.901
Se Be Sn Pb
1 1 2 1
Direct
0.000 0.500 0.000 Se
0.500 0.500 0.500 Be
0.500 0.000 0.000 Sn
0.000 0.000 0.500 Sn
0.000 0.000 0.000 Pb
```

As for the total energy: -2.64 eV per atom. The space group is P4/mmm. The calculation puts the density of states at the Fermi level at 4.4 states/eV/f.u. The calculation puts the raw formation energy at 1.15 eV per atom.

No. 20
## BeSiPb3 (PBE)

Data for a relaxed structure of BeSiPb3.

```
BeSiPb3
1.0
5.073 0.000 0.000
0.000 5.073 0.000
0.000 0.000 5.073
Pb Si Be
3 1 1
Direct
0.000 0.000 0.500 Pb
0.500 0.000 0.000 Pb
0.000 0.500 0.000 Pb
0.500 0.500 0.500 Si
0.000 0.000 0.000 Be
```

As for the total energy: -3.40 eV per atom. The space group is Pm-3m. The calculation puts the density of states at the Fermi level at 4.0 states/eV/f.u. The calculation puts the raw formation energy at 0.65 eV per atom.

No. 21
## Be2SiPb4 (PBE)

Data for a relaxed structure of Be2SiPb4.

```
Be2SiPb4
1.0
5.490 0.000 0.000
0.000 5.490 0.000
2.745 2.745 6.288
Pb Be Si
4 2 1
Direct
0.776 0.776 0.447 Pb
0.500 0.000 0.000 Pb
0.224 0.224 0.553 Pb
0.000 0.500 0.000 Pb
0.420 0.420 0.161 Be
0.580 0.580 0.839 Be
0.000 0.000 0.000 Si
```

As for the total energy: -3.26 eV per atom. The space group is I4/mmm. The calculation puts the density of states at the Fermi level at 4.6 states/eV/f.u. The calculation puts the raw formation energy at 0.70 eV per atom.

No. 22
## BeSiPb2 (PBE)

Data for a relaxed structure of BeSiPb2.

```
BeSiPb2
1.0
-2.999 -1.089 2.168
0.591 -1.965 3.266
-0.416 5.185 5.491
Si Pb Be
1 2 1
Direct
0.541 0.541 0.378 Si
0.970 0.970 0.072 Pb
0.778 0.778 0.679 Pb
0.210 0.210 0.370 Be
```

As for the total energy: -3.88 eV per atom. The space group is Cm. The calculation puts the density of states at the Fermi level at 1.3 states/eV/f.u. The calculation puts the raw formation energy at 0.26 eV per atom.

No. 23
## BeSiPb2 (PBE)

Data for a relaxed structure of BeSiPb2.

```
BeSiPb2
1.0
6.112 0.165 0.000
3.163 5.232 0.000
-4.637 -2.698 2.931
Pb Si Be
2 1 1
Direct
0.250 0.750 0.500 Pb
0.000 0.000 0.000 Pb
0.500 0.500 0.000 Si
0.750 0.250 0.500 Be
```

As for the total energy: -3.40 eV per atom. The space group is I-4m2. The calculation puts the density of states at the Fermi level at 1.9 states/eV/f.u. The calculation puts the raw formation energy at 0.74 eV per atom.

No. 24
## BeSiPb2 (PBE)

Data for a relaxed structure of BeSiPb2.

```
BeSiPb2
1.0
-1.709 -1.918 -4.392
0.952 -4.852 -1.198
-3.775 -3.411 0.011
Pb Be Si
2 1 1
Direct
0.000 0.000 0.000 Pb
0.250 0.250 0.250 Pb
0.500 0.500 0.500 Be
0.750 0.750 0.750 Si
```

As for the total energy: -3.31 eV per atom. The space group is F-43m. The calculation puts the density of states at the Fermi level at 2.7 states/eV/f.u. The calculation puts the raw formation energy at 0.83 eV per atom.

No. 25
## BeSiPb2 (PBE)

Data for a relaxed structure of BeSiPb2.

```
BeSiPb2
1.0
3.340 0.000 0.000
0.000 3.340 0.000
0.000 0.000 7.991
Be Pb Si
1 2 1
Direct
0.500 0.500 0.664 Be
0.000 0.000 0.946 Pb
0.500 0.500 0.307 Pb
0.000 0.000 0.583 Si
```

As for the total energy: -3.71 eV per atom. The space group is P4mm. The calculation puts the density of states at the Fermi level at 1.6 states/eV/f.u. The calculation puts the raw formation energy at 0.43 eV per atom.

No. 26
## BeSiPb2 (PBE)

Data for a relaxed structure of BeSiPb2.

```
BeSiPb2
1.0
3.910 0.000 0.000
0.000 4.556 -0.004
0.000 2.185 5.147
Si Pb Be
1 2 1
Direct
0.000 0.662 0.524 Si
0.000 0.964 0.929 Pb
0.500 0.279 0.315 Pb
0.500 0.596 0.732 Be
```

As for the total energy: -3.76 eV per atom. The space group is Pm. The calculation puts the density of states at the Fermi level at 2.1 states/eV/f.u. The calculation puts the raw formation energy at 0.38 eV per atom.

No. 27
## BeSiPb2 (PBE)

Data for a relaxed structure of BeSiPb2.

```
BeSiPb2
1.0
0.000 3.567 3.567
3.567 0.000 3.567
3.567 3.567 0.000
Si Be Pb
1 1 2
Direct
0.500 0.500 0.500 Si
0.000 0.000 0.000 Be
0.750 0.750 0.750 Pb
0.250 0.250 0.250 Pb
```

As for the total energy: -3.43 eV per atom. The space group is Fm-3m. The calculation puts the density of states at the Fermi level at 1.8 states/eV/f.u. The calculation puts the raw formation energy at 0.71 eV per atom.

No. 28
## BeSi4Pb (PBE)

Data for a relaxed structure of BeSi4Pb.

```
BeSi4Pb
1.0
0.000 3.745 3.745
3.745 0.000 3.745
3.745 3.745 0.000
Si Pb Be
4 1 1
Direct
0.378 0.378 0.378 Si
0.378 0.378 0.867 Si
0.378 0.867 0.378 Si
0.867 0.378 0.378 Si
0.000 0.000 0.000 Pb
0.750 0.750 0.750 Be
```

As for the total energy: -4.11 eV per atom. The space group is F-43m. The calculation puts the density of states at the Fermi level at 2.7 states/eV/f.u. The calculation puts the raw formation energy at 0.75 eV per atom.

No. 29
## BeSiPb2 (PBE)

Data for a relaxed structure of BeSiPb2.

```
BeSiPb2
1.0
3.361 0.000 0.000
0.000 3.361 0.000
0.000 0.000 7.941
Pb Be Si
2 1 1
Direct
0.000 0.000 0.521 Pb
0.000 0.000 0.979 Pb
0.500 0.500 0.750 Be
0.500 0.500 0.250 Si
```

As for the total energy: -3.45 eV per atom. The space group is P4/mmm. The calculation puts the density of states at the Fermi level at 1.8 states/eV/f.u. The calculation puts the raw formation energy at 0.70 eV per atom.

No. 30
## BeSiPb2 (PBE)

Data for a relaxed structure of BeSiPb2.

```
BeSiPb2
1.0
3.998 0.046 -0.057
2.055 3.430 -0.057
1.903 1.093 6.613
Pb Be Si
2 1 1
Direct
0.507 0.507 0.476 Pb
0.993 0.993 0.024 Pb
0.250 0.250 0.250 Be
0.750 0.750 0.750 Si
```

As for the total energy: -3.52 eV per atom. The space group is C2/m. The calculation puts the density of states at the Fermi level at 2.1 states/eV/f.u. The calculation puts the raw formation energy at 0.63 eV per atom.